A geometry-optimized Na2RuO4 structure, computed with PBE.

Lattice parameters (Å, degrees): 5.7621 5.7621 5.7709 120.36 120.05 89.56
Each line ends with the local moment (μB).
Fractional coordinates of all 7 atoms:
Na 0.7487 0.2484 0.4983  0.01
Na 0.2499 0.7495 0.4983  0.01
Ru 0.0001 0.0000 0.0001  1.08
O 0.9438 0.3085 0.2522  0.17
O 0.3069 0.9420 0.2489  0.17
O 0.0568 0.0574 0.7511  0.17
O 0.6937 0.6943 0.7511  0.17

Calculated values
**Size of the total moment**: 2.00 Bohr magnetons per cell
**Uncorrected formation energy**: -118.6 kJ per mole of atoms